Record 1
# Hf3TcB GGA-PBEsol optimized geometry
# M_tot	0.000	μB/f.u.
# crystal system	cubic
# formation enthalpy at 0 K	1.365	eV/atom
# VASP energy	-42.97	eV/f.u.
data_Hf3TcB
_chemical_formula_sum 'Hf3 Tc1 B1'
_cell_length_a 4.836
_cell_length_b 4.836
_cell_length_c 4.836
_cell_angle_alpha 90.00
_cell_angle_beta 90.00
_cell_angle_gamma 90.00
_space_group_name_H-M_alt 'P m -3 m'
_space_group_IT_number 221
_space_group_name_Hall '-P 4 2 3'
loop_
_atom_site_label
_atom_site_fract_x
_atom_site_fract_y
_atom_site_fract_z
Hf1 0.000 0.000 0.500
Tc1 0.000 0.000 0.000
B1 0.500 0.500 0.500



Record 2
# Hf2TiB2 GGA-PBEsol optimized geometry
# M_tot	0.821	μB/f.u.
# crystal system	tetragonal
# formation enthalpy at 0 K	-0.600	eV/atom
# VASP energy	-46.36	eV/f.u.
data_Hf2TiB2
_chemical_formula_sum 'Hf4 Ti2 B4'
_cell_length_a 6.254
_cell_length_b 6.254
_cell_length_c 3.404
_cell_angle_alpha 90.00
_cell_angle_beta 90.00
_cell_angle_gamma 90.00
_space_group_name_H-M_alt 'P 4/m b m'
_space_group_IT_number 127
_space_group_name_Hall '-P 4 2ab'
loop_
_atom_site_label
_atom_site_fract_x
_atom_site_fract_y
_atom_site_fract_z
Hf1 0.181 0.319 0.000
Ti1 0.000 0.000 0.500
B1 0.103 0.603 0.500